Record 1
This record from Alexandria via LeMat-Bulk describes a geometry-optimized Y3Ta structure. The functional is PBE.

## Properties
As for the space-group type: Pmm2 (25). Its offset from the most stable computed form is 53 meV per atom. For the formation energy, the calculation gives 31.0 kJ/mol of atoms.

Lattice parameters (Å, degrees): 3.375 5.358 6.040 90.00 90.00 90.00
Atoms (fractional coordinates):
Ta (0.000, 0.000, 0.011)
Y (0.000, 0.500, 0.305)
Y (0.500, 0.000, 0.511)
Y (0.500, 0.500, 0.839)

Record 2
This record from Alexandria via LeMat-Bulk describes a geometry-optimized Te4Pb5Au structure. The functional is PBE.

## Properties
As for the space-group type: I4/mmm (139). For the energy relative to the elements, uncorrected, the calculation gives -289 meV/atom.

Lattice parameters (Å, degrees): 4.567 4.567 16.368 98.02 98.02 90.00
Atoms (fractional coordinates):
Te (0.399, 0.399, 0.798)
Te (0.804, 0.804, 0.607)
Te (0.196, 0.196, 0.393)
Te (0.601, 0.601, 0.202)
Pb (0.093, 0.093, 0.187)
Pb (0.500, 0.500, 0.000)
Pb (0.907, 0.907, 0.813)
Pb (0.299, 0.299, 0.597)
Pb (0.701, 0.701, 0.403)
Au (0.000, 0.000, 0.000)

Record 3
This record from Alexandria via LeMat-Bulk describes a geometry-optimized SrBe2Ru structure. The functional is PBE.

## Properties
As for the space-group type: Cm (8). Its offset from the most stable computed form is 0 meV per atom. For the formation energy, the calculation gives -5.8 kJ/mol of atoms.

Lattice parameters (Å, degrees): 3.890 3.890 5.959 70.83 70.83 60.04
Atoms (fractional coordinates):
Ru (0.439, 0.439, 0.681)
Be (0.067, 0.067, 0.796)
Be (0.743, 0.743, 0.771)
Sr (0.251, 0.251, 0.252)

Record 4
This record from Alexandria via LeMat-Bulk describes a geometry-optimized ThAl4 structure. The functional is PBE.

## Properties
As for the space-group type: Pm-3m (221). For the formation energy, the calculation gives 132.8 kJ/mol of atoms.

Lattice parameters (Å, degrees): 5.785 5.785 5.785 90.00 90.00 90.00
Atoms (fractional coordinates):
Al (0.000, 0.000, 0.000)
Al (0.500, 0.000, 0.500)
Al (0.000, 0.500, 0.500)
Al (0.500, 0.500, 0.000)
Th (0.500, 0.500, 0.500)

Record 5
This record from Alexandria via LeMat-Bulk describes a geometry-optimized NaPt structure. The functional is PBE.

## Properties
As for the space-group type: Cmcm (63). For the formation energy, the calculation gives -5.8 kJ/mol of atoms.

Lattice parameters (Å, degrees): 2.728 5.865 4.563 90.00 90.00 76.55
Atoms (fractional coordinates):
Na (0.561, 0.877, 0.250)
Na (0.439, 0.123, 0.750)
Pt (0.800, 0.401, 0.250)
Pt (0.200, 0.599, 0.750)

Record 6
This record from Alexandria via LeMat-Bulk describes a geometry-optimized Ac3Th2PaAs6 structure. The functional is PBE.

## Properties
As for the space-group type: C2/m (12). For the formation energy, the calculation gives -131.8 kJ/mol of atoms.

Lattice parameters (Å, degrees): 7.520 7.520 7.608 99.48 99.48 120.01
Atoms (fractional coordinates):
Ac (0.169, 0.831, 0.500)
Ac (0.831, 0.169, 0.500)
Ac (0.500, 0.500, 0.500)
Th (0.334, 0.666, 0.000)
Th (0.666, 0.334, 0.000)
Pa (0.000, 0.000, 0.000)
As (0.925, 0.600, 0.774)
As (0.751, 0.751, 0.227)
As (0.075, 0.400, 0.226)
As (0.600, 0.925, 0.774)
As (0.249, 0.249, 0.773)
As (0.400, 0.075, 0.226)